Entry from the Alexandria database: an optimized crystal structure of TiMnO2 (GGA+U).

Space group = P1 (1)
M_tot = 1.011 μB/atom
Energy above the lowest structure with this stoichiometry = 40.0 meV per atom
D(E_F) = 1.87 states/eV per cell

a = 2.9829 Å, b = 5.1753 Å, c = 6.5559 Å
α = 88.23°, β = 76.86°, γ = 90.00°
With the nearest neighbours (Å) after each atom.
Positions (direct):
Ti  0.0000  0.0000  0.0000  6 O 1.99-2.04
Ti  0.3562  0.5418  0.2875  5 O 2.05-2.16
Mn  0.6441  0.5513  0.7076  2 O 2.01-2.12
Mn  0.7500  0.0946  0.5023  2 O 2.03-2.14
O  0.5091  0.7327  0.9818  1 Mn 2.01, 3 Ti 2.04-2.16
O  0.5845  0.1668  0.8312  2 Ti 2.02, 2 Mn 2.12-2.14
O  0.8564  0.8150  0.2874  1 Mn 2.03, 3 Ti 2.04-2.06
O  0.9097  0.3069  0.1809  3 Ti 1.99-2.05